[1]
Entry from Alexandria: an optimized crystal structure of HfBeMo2Pb (PBE).

The space group is P4/mmm (No. 123) and the conventional cell measures 5.1005, 5.1005 and 4.1899 Å, with angles of 90.00, 90.00 and 90.00 degrees. The asymmetric unit holds Hf at (0.0000, 0.0000, 0.0000), Be at (0.5000, 0.5000, 0.0000), Mo at (0.0000, 0.5000, 0.5000) and Pb at (0.5000, 0.5000, 0.5000).

The formation enthalpy at 0 K is 1.76 eV/atom.



[2]
Entry from Alexandria: an optimized crystal structure of HfBe2MoS (PBE).

The space group is P4/mmm (No. 123) and the conventional cell measures 4.0274, 4.0274 and 4.7679 Å, with angles of 90.00, 90.00 and 90.00 degrees. The asymmetric unit holds Hf at (0.0000, 0.0000, 0.0000), Be at (0.0000, 0.5000, 0.5000), Mo at (0.5000, 0.5000, 0.0000) and S at (0.0000, 0.0000, 0.5000).

As for the uncorrected formation energy: 539 meV/atom.



[3]
Entry from Alexandria: an optimized crystal structure of Hf2ScBeMo (PBE).

The space group is P4/mmm (No. 123) and the conventional cell measures 4.9653, 4.9653 and 5.0210 Å, with angles of 90.00, 90.00 and 90.00 degrees. The asymmetric unit holds Hf at (0.0000, 0.5000, 0.0000), Sc at (0.0000, 0.0000, 0.5000), Be at (0.5000, 0.5000, 0.5000) and Mo at (0.0000, 0.0000, 0.0000).

The formation enthalpy at 0 K is 1.05 eV/atom.



[4]
Entry from Alexandria: an optimized crystal structure of SrHfBe2Mo (PBE).

The space group is P4/mmm (No. 123) and the conventional cell measures 4.9771, 4.9771 and 4.7988 Å, with angles of 90.00, 90.00 and 90.00 degrees. The asymmetric unit holds Sr at (0.0000, 0.0000, 0.0000), Hf at (0.5000, 0.5000, 0.5000), Be at (0.0000, 0.5000, 0.5000) and Mo at (0.5000, 0.5000, 0.0000).

The formation enthalpy at 0 K is 1.18 eV/atom.



[5]
Entry from Alexandria: an optimized crystal structure of SrHfBeMo2 (PBE).

The space group is P4/mmm (No. 123) and the conventional cell measures 4.8313, 4.8313 and 5.8134 Å, with angles of 90.00, 90.00 and 90.00 degrees. The asymmetric unit holds Sr at (0.0000, 0.0000, 0.0000), Hf at (0.0000, 0.0000, 0.5000), Be at (0.5000, 0.5000, 0.0000) and Mo at (0.0000, 0.5000, 0.5000).

The formation enthalpy at 0 K is 2.05 eV/atom.



[6]
Entry from Alexandria: an optimized crystal structure of HfTiBeMo2 (PBE).

The space group is P4/mmm (No. 123) and the conventional cell measures 4.5055, 4.5055 and 4.9068 Å, with angles of 90.00, 90.00 and 90.00 degrees. The asymmetric unit holds Hf at (0.0000, 0.0000, 0.0000), Ti at (0.0000, 0.0000, 0.5000), Be at (0.5000, 0.5000, 0.0000) and Mo at (0.0000, 0.5000, 0.5000).

The formation enthalpy at 0 K is 1.51 eV/atom.



Number 1: ρ 8.94 g/cm3. Number 2: ρ 6.97 g/cm3. Number 3: ρ 6.80 g/cm3. Number 4: ρ 5.31 g/cm3. Number 5: ρ 5.72 g/cm3. Number 6: ρ 7.12 g/cm3.